Entry 1:
DFT (PBE) results for crystalline ZnOsRu2 at its relaxed geometry.

The energy relative to the elements is 0.24 eV per atom.

It has space group Cmmm (No. 65), with a = 5.4268 Å, b = 7.6442 Å, c = 2.7247 Å, α = 90.00°, β = 90.00° and γ = 90.00°. Symmetry generates all atoms from Zn at (0.0000, 0.0000, 0.0000), Os at (0.0000, 0.5000, 0.0000) and Ru at (0.2500, 0.2500, 0.5000).



Entry 2:
DFT (PBE) results for crystalline Er6In2C at its relaxed geometry.

Its energy above the most stable polymorph in this dataset is 216 meV per atom. The energy relative to the elements is -0.20 eV per atom.

It has space group Amm2 (No. 38), with a = 3.5538 Å, b = 14.8758 Å, c = 8.5955 Å, α = 90.00°, β = 90.00° and γ = 90.00°. Symmetry generates all atoms from Er at (0.0000, 0.0000, 0.0000), Er at (0.0000, 0.1073, 0.6781), Er at (0.5000, 0.0000, 0.3765), Er at (0.5000, 0.2038, 0.9904), In at (0.0000, 0.1671, 0.2865) and C at (0.5000, 0.0000, 0.7855).



Entry 3:
DFT (PBE) results for crystalline Cd2SbS4 at its relaxed geometry.

Its energy above the most stable polymorph in this dataset is 96 meV per atom. For the formation energy without anion corrections, the calculation gives -0.1261 eV/atom.

It has space group I4_1/a (No. 88, origin choice 2), with a = 7.0720 Å, b = 7.0720 Å, c = 12.7199 Å, α = 90.00°, β = 90.00° and γ = 90.00°. Symmetry generates all atoms from Cd at (0.0000, 0.0000, 0.0000), Sb at (0.0000, 0.2500, 0.6250) and S at (0.1413, 0.4330, 0.8111).



Entry 4:
DFT (PBE) results for crystalline KSbTe2 at its relaxed geometry.

For the formation energy without anion corrections, the calculation gives -0.3012 eV/atom.

It has space group Imm2 (No. 44), with a = 4.1162 Å, b = 5.4228 Å, c = 11.7722 Å, α = 90.00°, β = 90.00° and γ = 90.00°. Symmetry generates all atoms from K at (0.0000, 0.0000, 0.0000), Sb at (0.0000, 0.5000, 0.7779), Te at (0.0000, 0.0000, 0.4625) and Te at (0.0000, 0.5000, 0.2118).



Entry 5:
DFT (PBE) results for crystalline Tb4SmDy2 at its relaxed geometry.

Its energy above the most stable polymorph in this dataset is 94 meV per atom. The energy relative to the elements is 0.13 eV per atom.

It has space group P2_1/m (No. 11), with a = 6.0874 Å, b = 6.5880 Å, c = 11.5717 Å, α = 90.00°, β = 104.25° and γ = 90.00°. Symmetry generates all atoms from Tb at (0.1486, 0.0067, 0.2887), Tb at (0.2150, 0.2500, 0.5720), Tb at (0.3509, 0.7500, 0.8410), Sm at (0.4712, 0.7500, 0.1428), Dy at (0.1006, 0.2500, 0.9950) and Dy at (0.3468, 0.7500, 0.5544).



Entry 6:
DFT (PBE) results for crystalline PuAgTe2 at its relaxed geometry.

For the formation energy without anion corrections, the calculation gives -0.5406 eV/atom.

It has space group R3m (No. 160, hexagonal axes), with a = 4.3026 Å, b = 4.3026 Å, c = 21.8544 Å, α = 90.00°, β = 90.00° and γ = 120.00°. Symmetry generates all atoms from Pu at (0.0000, 0.0000, 0.0000), Ag at (0.0000, 0.0000, 0.8335), Te at (0.0000, 0.0000, 0.2459) and Te at (0.0000, 0.0000, 0.4224).